Here is Sc2CdTcP after structural relaxation from Alexandria via LeMat-Bulk. Energies are from PBE.

Properties
SG: P4/mmm, No. 123
Mass density, g/cm3: 4.34
E_tot, eV per cell: -23.1
ΔE_f, eV/f.u.: 6.3
D(E_F), states/eV per cell: 6.905

Geometry as POSCAR:
```
Sc2CdTcP
1.0
5.2640 0.0000 0.0000
0.0000 5.2640 0.0000
0.0000 0.0000 4.5744
Sc Cd Tc P
2 1 1 1
Direct
0.0000 0.5000 0.0000
0.5000 0.0000 0.0000
0.0000 0.0000 0.0000
0.5000 0.5000 0.5000
0.0000 0.0000 0.5000
```